# PmPrY2P4 (GGA-PBE, relaxed)
data_PmPrY2P4
_chemical_formula_sum 'Pm1 Pr1 Y2 P4'
_symmetry_space_group_name_H-M 'P 1'
_symmetry_Int_Tables_number 1
_cell_length_a 4.095
_cell_length_b 7.083
_cell_length_c 7.088
_cell_angle_alpha 70.52
_cell_angle_beta 90.00
_cell_angle_gamma 90.00
loop_
_symmetry_equiv_pos_as_xyz
'x,y,z'
loop_
_atom_site_label
_atom_site_type_symbol
_atom_site_fract_x
_atom_site_fract_y
_atom_site_fract_z
P1 P 0.500 0.240 0.755
P2 P 0.000 0.758 0.749
P3 P 0.000 0.242 0.251
P4 P 0.500 0.760 0.245
Pm1 Pm 0.500 0.500 0.000
Y1 Y 0.500 0.000 0.500
Y2 Y 0.000 0.000 0.000
Pr1 Pr 0.000 0.500 0.500
# Total magnetization = 0.0 μB/cell
# E_form = -1.58 eV per atom